[1]
KNdMg | PBE-GGA | relaxed

Results
Theoretical density (g cm⁻³): 2.59
DFT total energy (eV/atom): -1.643
M_tot (μB/atom): 0.35

Structure (extended XYZ):
```
3
Lattice="0.000 4.055 4.055 4.055 0.000 4.055 4.055 4.055 0.000" Properties=species:S:1:pos:R:3 pbc="T T T"
K 2.028 2.028 2.028
Mg 6.083 6.083 6.083
Nd 0.000 0.000 0.000
```

[2]
KNdMgS3 | PBE-GGA | relaxed

Results
Theoretical density (g cm⁻³): 3.03
DFT total energy (eV/atom): -4.940
M_tot (μB/atom): 0.00

Structure (extended XYZ):
```
12
Lattice="2.091 -7.130 0.000 2.091 7.130 0.000 0.000 0.000 11.169" Properties=species:S:1:pos:R:3 pbc="T T T"
K 2.091 3.503 2.792
K 2.091 -3.503 8.377
Mg 2.091 -0.476 2.792
Mg 2.091 0.476 8.377
Nd 0.000 0.000 0.000
Nd 0.000 0.000 5.585
S 2.091 -1.762 0.766
S 2.091 -6.239 2.792
S 2.091 -1.762 4.818
S 2.091 1.762 6.351
S 2.091 6.239 8.377
S 2.091 1.762 10.403
```